This record from the Open Quantum Materials Database describes crystalline RbLu at its relaxed geometry. The functional is PBE.

Calculated values
As for the total energy: -1.391 eV per atom. For the magnetic moment, the calculation gives 0.01 μB per formula unit.

Cell: 5.2105 5.2105 5.2105 Å, 60.00 60.00 60.00°
Element x y z (fractional)
Rb (0.0000, 0.0000, 0.0000)
Lu (0.5000, 0.5000, 0.5000)

This record from the Open Quantum Materials Database describes crystalline RbLu at its relaxed geometry. The functional is PBE.

Calculated values
As for the total energy: -0.909 eV per atom. For the magnetic moment, the calculation gives 2.01 μB per formula unit.

Cell: 6.1720 6.1720 6.1720 Å, 60.00 60.00 60.00°
Element x y z (fractional)
Rb (0.0000, 0.0000, 0.0000)
Lu (0.2500, 0.2500, 0.2500)

This record from the Open Quantum Materials Database describes crystalline RbLu2 at its relaxed geometry. The functional is PBE.

Calculated values
As for the total energy: -2.671 eV per atom. For the magnetic moment, the calculation gives 0.98 μB per formula unit.

Cell: 7.0903 7.0903 7.0903 Å, 60.00 60.00 60.00°
Element x y z (fractional)
Rb (0.1250, 0.1250, 0.1250)
Rb (0.8750, 0.8750, 0.8750)
Lu (0.0000, 0.5000, 0.5000)
Lu (0.5000, 0.0000, 0.5000)
Lu (0.5000, 0.5000, 0.0000)
Lu (0.5000, 0.5000, 0.5000)

This record from the Open Quantum Materials Database describes crystalline RbLuRe at its relaxed geometry. The functional is PBE.

Calculated values
As for the energy above the most stable polymorph in this dataset: 0.6804 eV per atom. As for the total energy: -3.510 eV per atom. For the magnetic moment, the calculation gives 2.75 μB per formula unit.

Cell: 5.0331 5.0331 5.0331 Å, 60.00 60.00 60.00°
Element x y z (fractional)
Rb (0.0000, 0.0000, 0.0000)
Lu (0.7500, 0.7500, 0.7500)
Re (0.2500, 0.2500, 0.2500)

This record from the Open Quantum Materials Database describes crystalline RbLuRe at its relaxed geometry. The functional is PBE.

Calculated values
As for the energy above the most stable polymorph in this dataset: 0.0000 eV per atom. As for the total energy: -4.191 eV per atom. For the magnetic moment, the calculation gives 1.09 μB per formula unit.

Cell: 5.0170 5.0170 5.0170 Å, 60.00 60.00 60.00°
Element x y z (fractional)
Rb (0.0000, 0.0000, 0.0000)
Lu (0.5000, 0.5000, 0.5000)
Re (0.7500, 0.7500, 0.7500)

This record from the Open Quantum Materials Database describes crystalline Rb2Lu2Re3 at its relaxed geometry. The functional is PBE.

Calculated values
As for the total energy: -6.245 eV per atom. For the magnetic moment, the calculation gives 0.08 μB per formula unit.

Cell: 14.6289 14.6289 3.1331 Å, 90.00 90.00 162.13°
Element x y z (fractional)
Rb (0.1791, 0.8209, 0.0000)
Rb (0.8209, 0.1791, 0.0000)
Lu (0.0542, 0.9458, 0.0000)
Lu (0.9458, 0.0542, 0.0000)
Re (0.4153, 0.5847, 0.5000)
Re (0.5000, 0.5000, 0.5000)
Re (0.5847, 0.4153, 0.5000)

This record from the Open Quantum Materials Database describes crystalline Rb2LuScS4 at its relaxed geometry. The functional is PBE.

Calculated values
As for the total energy: -5.435 eV per atom. For the magnetic moment, the calculation gives 0.00 μB per formula unit.

Cell: 3.9220 3.9220 15.2498 Å, 90.00 90.00 120.00°
Element x y z (fractional)
Rb (0.3333, 0.6667, 0.2469)
Rb (0.6667, 0.3333, 0.7531)
Lu (0.0000, 0.0000, 0.5000)
Sc (0.0000, 0.0000, 0.0000)
S (0.3333, 0.6667, 0.5964)
S (0.3333, 0.6667, 0.9100)
S (0.6667, 0.3333, 0.0900)
S (0.6667, 0.3333, 0.4036)

This record from the Open Quantum Materials Database describes crystalline RbSmLuS3 at its relaxed geometry. The functional is PBE.

Calculated values
As for the total energy: -5.428 eV per atom. For the magnetic moment, the calculation gives 0.01 μB per formula unit.

Cell: 7.9158 7.9158 10.9928 Å, 90.00 90.00 147.89°
Element x y z (fractional)
Rb (0.2371, 0.7629, 0.7500)
Rb (0.7629, 0.2371, 0.2500)
Sm (0.5000, 0.5000, 0.0000)
Sm (0.5000, 0.5000, 0.5000)
Lu (0.0310, 0.9690, 0.2500)
Lu (0.9690, 0.0310, 0.7500)
S (0.1185, 0.8815, 0.0562)
S (0.1185, 0.8815, 0.4438)
S (0.4436, 0.5564, 0.2500)
S (0.5564, 0.4436, 0.7500)
S (0.8815, 0.1185, 0.5562)
S (0.8815, 0.1185, 0.9438)

This record from the Open Quantum Materials Database describes crystalline RbLuZnTe2S at its relaxed geometry. The functional is PBE.

Calculated values
As for the total energy: -4.038 eV per atom. For the magnetic moment, the calculation gives 0.00 μB per formula unit.

Cell: 8.2835 8.2835 10.8325 Å, 90.00 90.00 150.48°
Element x y z (fractional)
Rb (0.2273, 0.7727, 0.7500)
Rb (0.7727, 0.2273, 0.2500)
Lu (0.5000, 0.5000, 0.0000)
Lu (0.5000, 0.5000, 0.5000)
Zn (0.0383, 0.9617, 0.2500)
Zn (0.9617, 0.0383, 0.7500)
Te (0.1308, 0.8692, 0.0493)
Te (0.1308, 0.8692, 0.4507)
Te (0.8692, 0.1308, 0.5493)
Te (0.8692, 0.1308, 0.9507)
S (0.4577, 0.5423, 0.2500)
S (0.5423, 0.4577, 0.7500)

This record from the Open Quantum Materials Database describes crystalline RbLuZnS3 at its relaxed geometry. The functional is PBE.

Calculated values
As for the total energy: -4.610 eV per atom. For the magnetic moment, the calculation gives 0.00 μB per formula unit.

Cell: 10.2039 3.9422 14.6235 Å, 90.00 90.00 90.00°
Element x y z (fractional)
Rb (0.0267, 0.2500, 0.1683)
Rb (0.4733, 0.7500, 0.6683)
Rb (0.5267, 0.2500, 0.3317)
Rb (0.9733, 0.7500, 0.8317)
Lu (0.1640, 0.7500, 0.4380)
Lu (0.3360, 0.2500, 0.9380)
Lu (0.6640, 0.7500, 0.0620)
Lu (0.8360, 0.2500, 0.5620)
Zn (0.1621, 0.2500, 0.6371)
Zn (0.3379, 0.7500, 0.1371)
Zn (0.6621, 0.2500, 0.8629)
Zn (0.8379, 0.7500, 0.3629)
S (0.0229, 0.7500, 0.6021)
S (0.1976, 0.7500, 0.0118)
S (0.2346, 0.2500, 0.7815)
S (0.2654, 0.7500, 0.2815)
S (0.3024, 0.2500, 0.5118)
S (0.4771, 0.2500, 0.1021)
S (0.5229, 0.7500, 0.8979)
S (0.6976, 0.7500, 0.4882)
S (0.7346, 0.2500, 0.7185)
S (0.7654, 0.7500, 0.2185)
S (0.8024, 0.2500, 0.9882)
S (0.9771, 0.2500, 0.3979)

This record from the Open Quantum Materials Database describes crystalline RbLuZnS3 at its relaxed geometry. The functional is PBE.

Calculated values
As for the total energy: -4.698 eV per atom. For the magnetic moment, the calculation gives 0.00 μB per formula unit.

Cell: 10.3821 3.9362 14.7652 Å, 90.00 90.00 90.00°
Element x y z (fractional)
Rb (0.2383, 0.2500, 0.0072)
Rb (0.2617, 0.7500, 0.5072)
Rb (0.7383, 0.2500, 0.4928)
Rb (0.7617, 0.7500, 0.9928)
Lu (0.0134, 0.7500, 0.2526)
Lu (0.4866, 0.2500, 0.7526)
Lu (0.5134, 0.7500, 0.2474)
Lu (0.9866, 0.2500, 0.7474)
Zn (0.2366, 0.7500, 0.7883)
Zn (0.2634, 0.2500, 0.2883)
Zn (0.7366, 0.7500, 0.7117)
Zn (0.7634, 0.2500, 0.2117)
S (0.0446, 0.7500, 0.8664)
S (0.0728, 0.2500, 0.3696)
S (0.2372, 0.2500, 0.6925)
S (0.2628, 0.7500, 0.1925)
S (0.4272, 0.7500, 0.8696)
S (0.4554, 0.2500, 0.3664)
S (0.5446, 0.7500, 0.6336)
S (0.5728, 0.2500, 0.1304)
S (0.7372, 0.2500, 0.8075)
S (0.7628, 0.7500, 0.3075)
S (0.9272, 0.7500, 0.6304)
S (0.9554, 0.2500, 0.1336)

This record from the Open Quantum Materials Database describes crystalline RbLuZnS3 at its relaxed geometry. The functional is PBE.

Calculated values
As for the total energy: -4.675 eV per atom. For the magnetic moment, the calculation gives 0.00 μB per formula unit.

Cell: 8.8575 3.9472 9.6329 Å, 90.00 110.26 90.00°
Element x y z (fractional)
Rb (0.2196, 0.2500, 0.2437)
Rb (0.7804, 0.7500, 0.7563)
Lu (0.3306, 0.7500, 0.8635)
Lu (0.6694, 0.2500, 0.1365)
Zn (0.0841, 0.2500, 0.6104)
Zn (0.9159, 0.7500, 0.3896)
S (0.1184, 0.2500, 0.8580)
S (0.1997, 0.7500, 0.5458)
S (0.4717, 0.7500, 0.1526)
S (0.5283, 0.2500, 0.8474)
S (0.8003, 0.2500, 0.4542)
S (0.8816, 0.7500, 0.1420)

This record from the Open Quantum Materials Database describes crystalline RbLuZnS3 at its relaxed geometry. The functional is PBE.

Calculated values
As for the total energy: -4.502 eV per atom. For the magnetic moment, the calculation gives 0.00 μB per formula unit.

Cell: 8.8551 8.8551 8.5715 Å, 101.01 101.01 26.12°
Element x y z (fractional)
Rb (0.1495, 0.1495, 0.0662)
Rb (0.8505, 0.8505, 0.9338)
Lu (0.1666, 0.1666, 0.5652)
Lu (0.8334, 0.8334, 0.4348)
Zn (0.4787, 0.4787, 0.2643)
Zn (0.5213, 0.5213, 0.7357)
S (0.0000, 0.0000, 0.5000)
S (0.3249, 0.3249, 0.6350)
S (0.3423, 0.3423, 0.2314)
S (0.5000, 0.5000, 0.0000)
S (0.6577, 0.6577, 0.7686)
S (0.6751, 0.6751, 0.3650)

This record from the Open Quantum Materials Database describes crystalline RbLuZnS3 at its relaxed geometry. The functional is PBE.

Calculated values
As for the total energy: -4.674 eV per atom. For the magnetic moment, the calculation gives 0.00 μB per formula unit.

Cell: 15.0207 3.9440 10.5592 Å, 90.00 90.00 90.00°
Element x y z (fractional)
Rb (0.2369, 0.2500, 0.0389)
Rb (0.2631, 0.7500, 0.5389)
Rb (0.7369, 0.2500, 0.4611)
Rb (0.7631, 0.7500, 0.9611)
Lu (0.0192, 0.2500, 0.3495)
Lu (0.4808, 0.7500, 0.8495)
Lu (0.5192, 0.2500, 0.1505)
Lu (0.9808, 0.7500, 0.6505)
Zn (0.0151, 0.7500, 0.1003)
Zn (0.4849, 0.2500, 0.6003)
Zn (0.5151, 0.7500, 0.3997)
Zn (0.9849, 0.2500, 0.8997)
S (0.0757, 0.7500, 0.8861)
S (0.0895, 0.2500, 0.5763)
S (0.1236, 0.7500, 0.2542)
S (0.3764, 0.2500, 0.7542)
S (0.4105, 0.7500, 0.0763)
S (0.4243, 0.2500, 0.3861)
S (0.5757, 0.7500, 0.6139)
S (0.5895, 0.2500, 0.9237)
S (0.6236, 0.7500, 0.2458)
S (0.8764, 0.2500, 0.7458)
S (0.9105, 0.7500, 0.4237)
S (0.9243, 0.2500, 0.1139)

This record from the Open Quantum Materials Database describes crystalline RbLuSb at its relaxed geometry. The functional is PBE.

Calculated values
As for the total energy: -2.617 eV per atom. For the magnetic moment, the calculation gives 0.00 μB per formula unit.

Cell: 5.4724 5.4724 5.4724 Å, 60.00 60.00 60.00°
Element x y z (fractional)
Rb (0.0000, 0.0000, 0.0000)
Lu (0.7500, 0.7500, 0.7500)
Sb (0.2500, 0.2500, 0.2500)

This record from the Open Quantum Materials Database describes crystalline RbLuSb at its relaxed geometry. The functional is PBE.

Calculated values
As for the total energy: -3.235 eV per atom. For the magnetic moment, the calculation gives 0.02 μB per formula unit.

Cell: 5.4163 5.4163 5.4163 Å, 60.00 60.00 60.00°
Element x y z (fractional)
Rb (0.0000, 0.0000, 0.0000)
Lu (0.5000, 0.5000, 0.5000)
Sb (0.7500, 0.7500, 0.7500)

This record from the Open Quantum Materials Database describes crystalline RbLuSe2 at its relaxed geometry. The functional is PBE.

Calculated values
As for the total energy: -4.579 eV per atom. For the magnetic moment, the calculation gives 0.00 μB per formula unit.

Cell: 14.4035 12.7692 8.2569 Å, 83.53 61.75 34.72°
Element x y z (fractional)
Rb (0.0559, 0.0559, 0.6941)
Rb (0.3059, 0.3059, 0.9441)
Rb (0.6941, 0.6941, 0.0559)
Rb (0.9441, 0.9441, 0.3059)
Lu (0.1250, 0.1250, 0.1250)
Lu (0.3750, 0.3750, 0.3750)
Lu (0.6250, 0.6250, 0.6250)
Lu (0.8750, 0.8750, 0.8750)
Se (0.0351, 0.3236, 0.4209)
Se (0.2797, 0.5791, 0.6764)
Se (0.3236, 0.0351, 0.7203)
Se (0.4209, 0.7203, 0.0351)
Se (0.5791, 0.2797, 0.9649)
Se (0.6764, 0.9649, 0.2797)
Se (0.7203, 0.4209, 0.3236)
Se (0.9649, 0.6764, 0.5791)

This record from the Open Quantum Materials Database describes crystalline RbLuZnSe3 at its relaxed geometry. The functional is PBE.

Calculated values
As for the total energy: -4.241 eV per atom. For the magnetic moment, the calculation gives 0.00 μB per formula unit.

Cell: 9.0404 4.1137 10.3084 Å, 90.00 111.06 90.00°
Element x y z (fractional)
Rb (0.2337, 0.2500, 0.2605)
Rb (0.7663, 0.7500, 0.7395)
Lu (0.3258, 0.7500, 0.8636)
Lu (0.6742, 0.2500, 0.1364)
Zn (0.0819, 0.2500, 0.6092)
Zn (0.9181, 0.7500, 0.3908)
Se (0.1046, 0.2500, 0.8517)
Se (0.2116, 0.7500, 0.5520)
Se (0.4670, 0.7500, 0.1496)
Se (0.5330, 0.2500, 0.8504)
Se (0.7884, 0.2500, 0.4480)
Se (0.8954, 0.7500, 0.1483)

This record from the Open Quantum Materials Database describes crystalline RbLuZnSe3 at its relaxed geometry. The functional is PBE.

Calculated values
As for the total energy: -4.070 eV per atom. For the magnetic moment, the calculation gives 0.00 μB per formula unit.

Cell: 9.2881 9.2881 8.9735 Å, 100.75 100.75 25.93°
Element x y z (fractional)
Rb (0.1467, 0.1467, 0.0673)
Rb (0.8533, 0.8533, 0.9327)
Lu (0.1692, 0.1692, 0.5684)
Lu (0.8308, 0.8308, 0.4316)
Zn (0.4770, 0.4770, 0.2684)
Zn (0.5230, 0.5230, 0.7316)
Se (0.0000, 0.0000, 0.5000)
Se (0.3266, 0.3266, 0.6354)
Se (0.3394, 0.3394, 0.2261)
Se (0.5000, 0.5000, 0.0000)
Se (0.6606, 0.6606, 0.7739)
Se (0.6734, 0.6734, 0.3646)

This record from the Open Quantum Materials Database describes crystalline RbSmLu at its relaxed geometry. The functional is PBE.

Calculated values
As for the energy above the most stable polymorph in this dataset: 0.0000 eV per atom. As for the total energy: -2.186 eV per atom. For the magnetic moment, the calculation gives 1.18 μB per formula unit.

Cell: 5.9480 5.9480 5.9480 Å, 60.00 60.00 60.00°
Element x y z (fractional)
Rb (0.0000, 0.0000, 0.0000)
Sm (0.5000, 0.5000, 0.5000)
Lu (0.2500, 0.2500, 0.2500)

This record from the Open Quantum Materials Database describes crystalline RbLuSn at its relaxed geometry. The functional is PBE.

Calculated values
As for the energy above the most stable polymorph in this dataset: 0.0000 eV per atom. As for the total energy: -3.011 eV per atom. For the magnetic moment, the calculation gives 0.00 μB per formula unit.

Cell: 5.5374 5.5374 5.5374 Å, 60.00 60.00 60.00°
Element x y z (fractional)
Rb (0.0000, 0.0000, 0.0000)
Lu (0.5000, 0.5000, 0.5000)
Sn (0.7500, 0.7500, 0.7500)

This record from the Open Quantum Materials Database describes crystalline RbLuSn at its relaxed geometry. The functional is PBE.

Calculated values
As for the energy above the most stable polymorph in this dataset: 0.6430 eV per atom. As for the total energy: -2.368 eV per atom. For the magnetic moment, the calculation gives 0.00 μB per formula unit.

Cell: 5.4143 5.4143 5.4143 Å, 60.00 60.00 60.00°
Element x y z (fractional)
Rb (0.0000, 0.0000, 0.0000)
Lu (0.7500, 0.7500, 0.7500)
Sn (0.2500, 0.2500, 0.2500)

This record from the Open Quantum Materials Database describes crystalline RbSrLu at its relaxed geometry. The functional is PBE.

Calculated values
As for the energy above the most stable polymorph in this dataset: 0.0000 eV per atom. As for the total energy: -1.464 eV per atom. For the magnetic moment, the calculation gives 0.02 μB per formula unit.

Cell: 6.4369 6.4369 6.4369 Å, 60.00 60.00 60.00°
Element x y z (fractional)
Rb (0.0000, 0.0000, 0.0000)
Sr (0.5000, 0.5000, 0.5000)
Lu (0.2500, 0.2500, 0.2500)

This record from the Open Quantum Materials Database describes crystalline RbLuTa at its relaxed geometry. The functional is PBE.

Calculated values
As for the energy above the most stable polymorph in this dataset: 0.5344 eV per atom. As for the total energy: -3.341 eV per atom. For the magnetic moment, the calculation gives 1.06 μB per formula unit.

Cell: 5.1030 5.1030 5.1030 Å, 60.00 60.00 60.00°
Element x y z (fractional)
Rb (0.0000, 0.0000, 0.0000)
Lu (0.7500, 0.7500, 0.7500)
Ta (0.2500, 0.2500, 0.2500)